# 1
LiP2HS6 | PBE-GGA | optimized geometry

Cell lengths 5.6971, 10.8741, 10.8741 Å; angles 96.86, 67.00, 67.00 degrees
With the nearest neighbours (Å) after each atom.
Fractional positions:
S  0.7236  0.8015  0.9784  1 P 2.00
S  0.1548  0.7156  0.6158  2 P 2.14-2.15
Li  0.2500  0.9772  0.0228  4 S 2.43-2.47
S  0.1596  0.4676  0.7926  1 H 1.66
P  0.9225  0.6587  0.7885  4 S 2.00-2.15
P  0.0775  0.3413  0.2115  4 S 2.00-2.15
S  0.2236  0.9784  0.8015  1 P 2.00
H  0.7500  0.6438  0.3562  2 S 1.66
S  0.7764  0.0216  0.1985  1 P 2.00
S  0.8452  0.2844  0.3842  2 P 2.14-2.15
P  0.5775  0.2115  0.3413  4 S 2.00-2.15
S  0.3452  0.3842  0.2844  2 P 2.14-2.15
S  0.6548  0.6158  0.7156  2 P 2.14-2.15
Li  0.7500  0.0228  0.9772  4 S 2.43-2.47
S  0.6596  0.7926  0.4676  1 H 1.66
P  0.4225  0.7885  0.6587  4 S 2.00-2.15
S  0.2764  0.1985  0.0216  1 P 2.00
H  0.2500  0.3562  0.6438  2 S 1.66
S  0.3404  0.2074  0.5324  1 H 1.66
S  0.8404  0.5324  0.2074  1 H 1.66

Values from the calculation:
calculated total energy = -88.427 eV/cell
DOS at the Fermi energy = 0.0 states/eV/cell

---

# 2
SrCaLa | PBE-GGA | optimized geometry

Cell lengths 8.9561, 8.9561, 8.9561 Å; angles 154.70, 154.70, 36.08 degrees
With the nearest neighbours (Å) after each atom.
Fractional positions:
La  0.3383  0.3383  0.0000  4 Ca 3.81, 4 La 3.92, 4 Sr 3.99
Ca  0.9917  0.9917  0.0000  4 La 3.81, 4 Ca 3.92, 4 Sr 4.11
Sr  0.6700  0.6700  0.0000  4 Sr 3.92, 4 La 3.99, 4 Ca 4.11

Values from the calculation:
excess energy over the best structure of this formula in the dataset = 74 meV/atom
DOS at the Fermi energy = 5.4 states/eV/cell
energy relative to the elements = 0.11 eV per atom

---

# 3
KRbBaSn | PBE-GGA | optimized geometry

Cell lengths 6.2258, 6.2258, 6.2258 Å; angles 60.00, 60.00, 60.00 degrees
With the nearest neighbours (Å) after each atom.
Fractional positions:
Ba  0.5000  0.5000  0.5000  4 Sn 3.81, 4 Rb 3.81
Rb  0.7500  0.7500  0.7500  4 K 3.81, 4 Ba 3.81
Sn  0.2500  0.2500  0.2500  4 Ba 3.81, 4 K 3.81
K  0.0000  0.0000  0.0000  4 Sn 3.81, 4 Rb 3.81

Values from the calculation:
DOS at the Fermi energy = 0.1 states/eV/cell
energy relative to the elements = -0.20 eV per atom

---

# 4
Ho8Te2C3 | PBE-GGA | optimized geometry

Cell lengths 6.3598, 7.4918, 8.2140 Å; angles 117.13, 106.10, 90.00 degrees
With the nearest neighbours (Å) after each atom.
Fractional positions:
C  0.0000  0.2543  0.0000  6 Ho 2.46-2.56
Ho  0.7756  0.4036  0.8072  2 C 2.48
Ho  0.7371  0.3309  0.1855  2 C 2.45-2.46
Ho  0.2629  0.6691  0.8145  2 C 2.45-2.46
Ho  0.7371  0.8547  0.1855  2 C 2.45-2.46
C  0.5000  0.0000  0.0000  6 Ho 2.45-2.47
C  0.0000  0.7457  0.0000  6 Ho 2.46-2.56
Te  0.0132  0.2513  0.5025  6 Ho 3.02-3.06
Ho  0.2244  0.5964  0.1928  2 C 2.48
Ho  0.2629  0.1453  0.8145  2 C 2.45-2.46
Te  0.9868  0.7487  0.4975  6 Ho 3.02-3.06
Ho  0.7600  0.9051  0.8103  3 C 2.47-2.56
Ho  0.2400  0.0949  0.1897  3 C 2.47-2.56

Values from the calculation:
DOS at the Fermi energy = 11.1 states/eV/cell
formation energy from raw total energies = -0.546 eV per atom

---

# 5
Hf2ThCu9 | PBE-GGA | optimized geometry

Cell lengths 5.1299, 5.1299, 8.5873 Å; angles 72.62, 72.62, 60.00 degrees
With the nearest neighbours (Å) after each atom.
Fractional positions:
Cu  0.3324  0.3324  0.0028  6 Cu 2.51-2.56
Cu  0.0836  0.5859  0.7446  7 Cu 2.47-2.58
Th  0.0000  0.0000  0.0000  18 Cu 2.96-3.29
Cu  0.4141  0.4141  0.2554  7 Cu 2.47-2.58
Hf  0.1510  0.1510  0.5469  12 Cu 2.77-3.02, 3 Hf 3.06
Cu  0.5859  0.0836  0.7446  7 Cu 2.47-2.58
Cu  0.4141  0.9164  0.2554  7 Cu 2.47-2.58
Cu  0.5859  0.5859  0.7446  7 Cu 2.47-2.58
Cu  0.6676  0.6676  0.9972  6 Cu 2.51-2.56
Hf  0.8490  0.8490  0.4531  12 Cu 2.77-3.02, 3 Hf 3.06
Cu  0.9164  0.4141  0.2554  7 Cu 2.47-2.58
Cu  0.5000  0.5000  0.5000  6 Cu 2.47

Values from the calculation:
DOS at the Fermi energy = 8.0 states/eV/cell
energy relative to the elements = -0.12 eV per atom

---

# 6
IrPdRh3 | PBE-GGA | optimized geometry

Cell lengths 5.3463, 5.3463, 7.3030 Å; angles 68.53, 68.53, 60.00 degrees
With the nearest neighbours (Å) after each atom.
Fractional positions:
Rh  0.3884  0.8901  0.3331  6 Rh 2.66-2.70, 3 Ir 2.67-2.68, 2 Pd 2.68-2.70
Rh  0.1099  0.6116  0.6669  6 Rh 2.66-2.70, 3 Ir 2.67-2.68, 2 Pd 2.68-2.70
Rh  0.6116  0.1099  0.6669  6 Rh 2.66-2.70, 3 Ir 2.67-2.68, 2 Pd 2.68-2.70
Ir  0.1119  0.1119  0.6644  9 Rh 2.67-2.68
Rh  0.3884  0.3884  0.3331  6 Rh 2.66-2.70, 3 Ir 2.67-2.68, 2 Pd 2.68-2.70
Ir  0.8881  0.8881  0.3356  9 Rh 2.67-2.68
Pd  0.6659  0.6659  0.0022  6 Rh 2.68-2.70
Pd  0.3341  0.3341  0.9978  6 Rh 2.68-2.70
Rh  0.8901  0.3884  0.3331  6 Rh 2.66-2.70, 3 Ir 2.67-2.68, 2 Pd 2.68-2.70
Rh  0.6116  0.6116  0.6669  6 Rh 2.66-2.70, 3 Ir 2.67-2.68, 2 Pd 2.68-2.70

Values from the calculation:
excess energy over the best structure of this formula in the dataset = 0 meV/atom
DOS at the Fermi energy = 15.2 states/eV/cell
energy relative to the elements = 0.37 eV per atom

---

# 7
Pm6BiAs2S3 | PBE-GGA | optimized geometry

Cell lengths 4.2018, 8.4052, 9.3795 Å; angles 102.49, 102.94, 90.00 degrees
With the nearest neighbours (Å) after each atom.
Fractional positions:
As  0.8328  0.6663  0.6655  6 Pm 2.95-2.98
Bi  0.5000  0.0000  0.0000  6 Pm 3.11-3.12
Pm  0.6673  0.5832  0.3346  3 As 2.95-2.97, 3 S 2.97-2.98
Pm  0.3251  0.9105  0.6502  3 S 2.86-2.99, 2 As 2.96, 1 Bi 3.12
S  0.1647  0.8320  0.3295  6 Pm 2.86-2.99
S  0.5000  0.5000  0.0000  6 Pm 2.84-2.98
As  0.1672  0.3337  0.3345  6 Pm 2.95-2.98
Pm  0.0005  0.2726  0.0009  3 S 2.84-2.95, 1 As 2.98, 2 Bi 3.11
S  0.8353  0.1680  0.6705  6 Pm 2.86-2.99
Pm  0.3327  0.4168  0.6654  3 As 2.95-2.97, 3 S 2.97-2.98
Pm  0.6749  0.0895  0.3498  3 S 2.86-2.99, 2 As 2.96, 1 Bi 3.12
Pm  0.9995  0.7274  0.9991  3 S 2.84-2.95, 1 As 2.98, 2 Bi 3.11

Values from the calculation:
DOS at the Fermi energy = 4.4 states/eV/cell
formation energy from raw total energies = -1.660 eV per atom

---

# 8
PmDyPb | PBE-GGA | optimized geometry

Cell lengths 4.6232, 4.6232, 8.7421 Å; angles 89.98, 90.02, 90.00 degrees
With the nearest neighbours (Å) after each atom.
Fractional positions:
Pm  0.7496  0.2504  0.6559  5 Pb 3.29-3.32
Dy  0.2500  0.2500  0.0000  4 Dy 3.27, 4 Pb 3.36
Pb  0.2495  0.7505  0.7209  5 Pm 3.29-3.32, 4 Dy 3.36
Pb  0.7505  0.2495  0.2791  5 Pm 3.29-3.32, 4 Dy 3.36
Pm  0.2504  0.7496  0.3441  5 Pb 3.29-3.32
Dy  0.7500  0.7500  0.0000  4 Dy 3.27, 4 Pb 3.36

Values from the calculation:
excess energy over the best structure of this formula in the dataset = 0 meV/atom
DOS at the Fermi energy = 5.9 states/eV/cell
energy relative to the elements = -0.45 eV per atom

---

# 9
RbBiSb2 | PBE-GGA | optimized geometry

Cell lengths 4.2945, 4.2945, 9.8914 Å; angles 77.46, 77.46, 60.00 degrees
With the nearest neighbours (Å) after each atom.
Fractional positions:
Rb  0.4999  0.4999  0.5004  6 Sb 3.79
Bi  0.6670  0.6670  0.9991  6 Sb 3.13-3.14
Sb  0.2663  0.2663  0.2010  3 Bi 3.14
Sb  0.0668  0.0668  0.7995  3 Bi 3.13

Values from the calculation:
DOS at the Fermi energy = 4.4 states/eV/cell
formation energy from raw total energies = 0.003 eV per atom

---

# 10
KCd2Bi2 | PBE-GGA | optimized geometry

Cell lengths 6.8963, 7.3457, 9.0579 Å; angles 80.00, 67.58, 62.54 degrees
With the nearest neighbours (Å) after each atom.
Fractional positions:
Cd  0.5557  0.3655  0.2552  4 Bi 2.93-3.20
Bi  0.5089  0.2506  0.9814  4 Cd 2.93-3.20
Bi  0.2586  0.7506  0.4834  4 Cd 2.93-3.16
K  0.8787  0.7500  0.2428  8 Bi 3.92-4.34, 6 Cd 4.01-4.30
Cd  0.4443  0.6345  0.7448  4 Bi 2.93-3.20
Cd  0.8114  0.8658  0.7457  4 Bi 2.93-3.19
Bi  0.4911  0.7494  0.0186  4 Cd 2.93-3.20
Cd  0.1886  0.1342  0.2543  4 Bi 2.93-3.19
K  0.1213  0.2500  0.7572  8 Bi 3.92-4.34, 6 Cd 4.01-4.30
Bi  0.7414  0.2494  0.5167  4 Cd 2.93-3.16

Values from the calculation:
excess energy over the best structure of this formula in the dataset = 53 meV/atom
DOS at the Fermi energy = 1.1 states/eV/cell
energy relative to the elements = -0.15 eV per atom

---

# 11
Rb2ScPbO4 | PBE-GGA | optimized geometry

Cell lengths 6.2173, 6.2148, 6.2805 Å; angles 119.70, 119.71, 89.91 degrees
With the nearest neighbours (Å) after each atom.
Fractional positions:
O  0.8481  0.4701  0.2353  1 Sc 2.00
Pb  0.9860  0.4860  0.9720  4 O 2.25
O  0.7064  0.6230  0.7074  1 Sc 2.00
Rb  0.4862  0.9862  0.9724  4 O 2.87
Sc  0.7359  0.7359  0.4717  4 O 2.00
O  0.3871  0.7652  0.2353  1 Sc 2.00
Rb  0.2363  0.2363  0.4727  4 O 2.95
O  0.0010  0.0844  0.7074  1 Sc 2.00

Values from the calculation:
DOS at the Fermi energy = 2.1 states/eV/cell
formation energy from raw total energies = -1.857 eV per atom

---

# 12
LaTc2P | PBE-GGA | optimized geometry

Cell lengths 4.8260, 4.8260, 4.8260 Å; angles 125.69, 125.69, 80.40 degrees
With the nearest neighbours (Å) after each atom.
Fractional positions:
Tc  0.0000  0.0000  0.0000  4 P 2.87, 4 Tc 2.87, 4 La 3.11
Tc  0.2500  0.7500  0.5000  4 La 2.87, 4 Tc 2.87, 4 P 3.11
La  0.5000  0.5000  0.0000  8 Tc 2.87-3.11, 4 P 2.87
P  0.7500  0.2500  0.5000  4 La 2.87, 8 Tc 2.87-3.11

Values from the calculation:
DOS at the Fermi energy = 3.6 states/eV/cell
energy relative to the elements = 0.27 eV per atom